CaSm2OsO8: relaxed, PBE-GGA.

Computed properties:
Its space group is Cmmm (65). The calculation puts the uncorrected formation energy at -27.228 eV/f.u. As for the total magnetization: 0.0000 μB/atom.

Cell lengths 5.107, 5.115, 7.021 Å; angles 90.00, 90.00, 90.74 degrees
Element x y z (fractional)
Ca 0.000 0.000 0.500
Sm 0.500 0.500 0.744
Sm 0.500 0.500 0.256
Os 0.000 0.000 0.000
O 0.179 0.821 0.192
O 0.737 0.738 0.000
O 0.821 0.179 0.192
O 0.821 0.179 0.808
O 0.263 0.262 0.000
O 0.179 0.821 0.808
O 0.692 0.692 0.500
O 0.308 0.308 0.500

Ca2SnOsO6: relaxed, PBE-GGA.

Computed properties:
Its space group is P4mm (99). The calculation puts the uncorrected formation energy at -17.982 eV/f.u. For the density of states at the Fermi level, the calculation gives 3.712 states/eV/cell. As for the total magnetization: 0.1048 μB/atom.

Cell lengths 3.968, 5.751, 5.751 Å; angles 90.00, 90.00, 90.00 degrees
Element x y z (fractional)
Ca 0.048 0.500 0.000
Ca 0.048 0.000 0.500
Sn 0.634 0.000 0.000
Os 0.656 0.500 0.500
O 0.690 0.251 0.251
O 0.690 0.251 0.749
O 0.160 0.500 0.500
O 0.142 0.000 0.000
O 0.690 0.749 0.749
O 0.690 0.749 0.251

SrCa2OsO6: relaxed, PBE-GGA.

Computed properties:
Its space group is R3 (146). The calculation puts the uncorrected formation energy at -21.975 eV/f.u. For the density of states at the Fermi level, the calculation gives 6.657 states/eV/cell. As for the total magnetization: 0.2000 μB/atom.

Cell lengths 5.784, 5.784, 6.050 Å; angles 61.44, 61.44, 60.00 degrees
Element x y z (fractional)
Sr 0.807 0.807 0.579
Ca 0.531 0.531 0.408
Ca 0.024 0.024 0.929
Os 0.323 0.323 0.032
O 0.555 0.223 0.236
O 0.223 0.986 0.236
O 0.986 0.555 0.236
O 0.408 0.667 0.787
O 0.667 0.138 0.787
O 0.138 0.408 0.787

Sr2CaOsO6: relaxed, PBE-GGA.

Computed properties:
Its space group is Fm-3m (225). The calculation puts the uncorrected formation energy at -22.186 eV/f.u. For the density of states at the Fermi level, the calculation gives 4.315 states/eV/cell. As for the total magnetization: 0.1969 μB/atom.

Cell lengths 5.877, 5.877, 5.877 Å; angles 60.00, 60.00, 60.00 degrees
Element x y z (fractional)
Sr 0.250 0.250 0.250
Sr 0.750 0.750 0.750
Ca 0.500 0.500 0.500
Os 0.000 0.000 0.000
O 0.768 0.232 0.232
O 0.232 0.768 0.768
O 0.232 0.768 0.232
O 0.768 0.232 0.768
O 0.232 0.232 0.768
O 0.768 0.768 0.232

Sr2CaOsO6: relaxed, PBE-GGA.

Computed properties:
Its space group is P2_1/c (14). The calculation puts the uncorrected formation energy at -22.713 eV/f.u. For the density of states at the Fermi level, the calculation gives 10.621 states/eV/cell. As for the total magnetization: 0.2007 μB/atom.

Cell lengths 5.797, 5.925, 8.252 Å; angles 90.00, 90.31, 90.00 degrees
Element x y z (fractional)
Sr 0.010 0.955 0.251
Sr 0.510 0.545 0.751
Sr 0.990 0.045 0.749
Sr 0.490 0.455 0.249
Ca 0.500 0.000 0.000
Ca 0.000 0.500 0.500
Os 0.500 0.000 0.500
Os 0.000 0.500 0.000
O 0.269 0.689 0.040
O 0.769 0.811 0.540
O 0.731 0.311 0.960
O 0.231 0.189 0.460
O 0.315 0.731 0.454
O 0.815 0.769 0.954
O 0.685 0.269 0.546
O 0.185 0.231 0.046
O 0.919 0.525 0.228
O 0.419 0.975 0.728
O 0.081 0.475 0.772
O 0.581 0.025 0.272

SrCaOsO6: relaxed, PBE-GGA.

Computed properties:
Its space group is P312 (149). The calculation puts the uncorrected formation energy at -17.070 eV/f.u. As for the total magnetization: 0.0000 μB/atom.

Cell lengths 5.610, 5.610, 5.152 Å; angles 90.00, 90.00, 60.00 degrees
Element x y z (fractional)
Sr 0.000 0.000 0.000
Ca 0.667 0.667 0.500
Os 0.333 0.333 0.500
O 0.057 0.337 0.292
O 0.337 0.057 0.708
O 0.606 0.337 0.708
O 0.057 0.606 0.708
O 0.337 0.606 0.292
O 0.606 0.057 0.292

CaTbOsO6: relaxed, PBE-GGA.

Computed properties:
Its space group is P-31c (163). The calculation puts the uncorrected formation energy at -19.202 eV/f.u. For the density of states at the Fermi level, the calculation gives 8.717 states/eV/cell. As for the total magnetization: 0.1153 μB/atom.

Cell lengths 5.556, 5.556, 9.610 Å; angles 90.00, 90.00, 120.00 degrees
Element x y z (fractional)
Ca 0.000 0.000 0.000
Ca 0.000 0.000 0.500
Tb 0.333 0.667 0.250
Tb 0.667 0.333 0.750
Os 0.667 0.333 0.250
Os 0.333 0.667 0.750
O 0.666 0.617 0.138
O 0.951 0.334 0.138
O 0.334 0.951 0.638
O 0.049 0.666 0.862
O 0.383 0.334 0.362
O 0.951 0.617 0.362
O 0.617 0.951 0.862
O 0.666 0.049 0.362
O 0.049 0.383 0.638
O 0.383 0.049 0.138
O 0.617 0.666 0.638
O 0.334 0.383 0.862

CaTb2OsO8: relaxed, PBE-GGA.

Computed properties:
Its space group is Cmmm (65). The calculation puts the uncorrected formation energy at -27.808 eV/f.u. As for the total magnetization: 0.0000 μB/atom.

Cell lengths 5.051, 5.049, 6.910 Å; angles 90.00, 90.00, 90.51 degrees
Element x y z (fractional)
Ca 0.000 0.000 0.500
Tb 0.500 0.500 0.743
Tb 0.500 0.500 0.257
Os 0.000 0.000 0.000
O 0.181 0.818 0.194
O 0.733 0.734 0.000
O 0.819 0.182 0.194
O 0.819 0.182 0.806
O 0.267 0.266 0.000
O 0.181 0.818 0.806
O 0.689 0.690 0.500
O 0.311 0.310 0.500

Ca2ThOsO8: relaxed, PBE-GGA.

Computed properties:
Its space group is Cmmm (65). The calculation puts the uncorrected formation energy at -27.502 eV/f.u. For the density of states at the Fermi level, the calculation gives 2.710 states/eV/cell. As for the total magnetization: 0.0000 μB/atom.

Cell lengths 5.123, 5.118, 6.900 Å; angles 90.00, 90.00, 91.37 degrees
Element x y z (fractional)
Ca 0.500 0.500 0.753
Ca 0.500 0.500 0.247
Th 0.000 0.000 0.500
Os 0.000 0.000 0.000
O 0.176 0.823 0.201
O 0.741 0.742 0.000
O 0.824 0.177 0.201
O 0.824 0.177 0.799
O 0.259 0.258 0.000
O 0.176 0.823 0.799
O 0.701 0.702 0.500
O 0.299 0.298 0.500

Ca2TiOsO6: relaxed, PBE-GGA.

Computed properties:
Its space group is P4mm (99). The calculation puts the uncorrected formation energy at -23.639 eV/f.u. For the density of states at the Fermi level, the calculation gives 4.033 states/eV/cell. As for the total magnetization: 0.0757 μB/atom.

Cell lengths 3.885, 5.576, 5.576 Å; angles 90.00, 90.00, 90.00 degrees
Element x y z (fractional)
Ca 0.082 0.500 0.000
Ca 0.082 0.000 0.500
Ti 0.635 0.000 0.000
Os 0.659 0.500 0.500
O 0.668 0.247 0.247
O 0.668 0.247 0.753
O 0.160 0.500 0.500
O 0.155 0.000 0.000
O 0.668 0.753 0.753
O 0.668 0.753 0.247

CaTlOsO6: relaxed, PBE-GGA.

Computed properties:
Its space group is P312 (149). The calculation puts the uncorrected formation energy at -11.501 eV/f.u. For the density of states at the Fermi level, the calculation gives 2.781 states/eV/cell. As for the total magnetization: 0.0000 μB/atom.

Cell lengths 5.588, 5.589, 4.709 Å; angles 89.96, 90.01, 59.98 degrees
Element x y z (fractional)
Ca 0.667 0.667 0.500
Tl 0.000 0.000 0.000
Os 0.333 0.333 0.500
O 0.051 0.341 0.270
O 0.341 0.051 0.730
O 0.608 0.340 0.729
O 0.052 0.608 0.729
O 0.340 0.608 0.271
O 0.608 0.052 0.271

Ca2TlOsO6: relaxed, PBE-GGA.

Computed properties:
Its space group is R3 (146). The calculation puts the uncorrected formation energy at -17.735 eV/f.u. For the density of states at the Fermi level, the calculation gives 5.034 states/eV/cell. As for the total magnetization: 0.1034 μB/atom.

Cell lengths 5.801, 5.801, 6.245 Å; angles 62.32, 62.32, 60.00 degrees
Element x y z (fractional)
Ca 0.525 0.525 0.424
Ca 0.007 0.007 0.979
Tl 0.782 0.782 0.653
Os 0.327 0.327 0.018
O 0.542 0.275 0.201
O 0.275 0.982 0.201
O 0.982 0.542 0.201
O 0.365 0.685 0.780
O 0.685 0.170 0.780
O 0.170 0.365 0.780

CaTl3Os2O9: relaxed, PBE-GGA.

Computed properties:
Its space group is P-3m1 (164). The calculation puts the uncorrected formation energy at -17.759 eV/f.u. For the density of states at the Fermi level, the calculation gives 7.840 states/eV/cell. As for the total magnetization: 0.0000 μB/atom.

Cell lengths 5.810, 5.810, 7.270 Å; angles 90.00, 90.00, 120.00 degrees
Element x y z (fractional)
Ca 0.000 0.000 0.500
Tl 0.333 0.667 0.653
Tl 0.000 0.000 0.000
Tl 0.667 0.333 0.347
Os 0.333 0.667 0.153
Os 0.667 0.333 0.847
O 0.819 0.181 0.700
O 0.819 0.638 0.700
O 0.362 0.181 0.700
O 0.638 0.819 0.300
O 0.181 0.362 0.300
O 0.181 0.819 0.300
O 0.500 0.000 0.000
O 0.000 0.500 0.000
O 0.500 0.500 0.000

CaTl2OsO6: relaxed, PBE-GGA.

Computed properties:
Its space group is P-3m1 (164). The calculation puts the uncorrected formation energy at -12.456 eV/f.u. As for the total magnetization: 0.0000 μB/atom.

Cell lengths 5.928, 6.372, 6.372 Å; angles 120.00, 90.00, 90.00 degrees
Element x y z (fractional)
Ca 0.500 0.000 0.000
Tl 0.040 0.333 0.667
Tl 0.960 0.667 0.333
Os 0.000 0.000 0.000
O 0.811 0.138 0.275
O 0.811 0.138 0.862
O 0.811 0.725 0.862
O 0.189 0.862 0.138
O 0.189 0.275 0.138
O 0.189 0.862 0.725

Ca2TlOsO8: relaxed, PBE-GGA.

Computed properties:
Its space group is P2/m (10). The calculation puts the uncorrected formation energy at -17.421 eV/f.u. For the density of states at the Fermi level, the calculation gives 6.558 states/eV/cell. As for the total magnetization: 0.0912 μB/atom.

Cell lengths 4.994, 4.995, 7.226 Å; angles 90.00, 90.00, 93.36 degrees
Element x y z (fractional)
Ca 0.500 0.500 0.753
Ca 0.500 0.500 0.247
Tl 0.000 0.000 0.500
Os 0.000 0.000 0.000
O 0.178 0.820 0.184
O 0.725 0.727 0.000
O 0.822 0.180 0.184
O 0.822 0.180 0.816
O 0.275 0.273 0.000
O 0.178 0.820 0.816
O 0.708 0.709 0.500
O 0.292 0.291 0.500

Ca2Tl2OsO6: relaxed, PBE-GGA.

Computed properties:
Its space group is C2/m (12). The calculation puts the uncorrected formation energy at -17.924 eV/f.u. For the density of states at the Fermi level, the calculation gives 4.930 states/eV/cell. As for the total magnetization: 0.1825 μB/atom.

Cell lengths 5.796, 5.796, 6.603 Å; angles 97.16, 97.16, 119.56 degrees
Element x y z (fractional)
Ca 0.336 0.664 0.500
Ca 0.664 0.336 0.500
Tl 0.834 0.166 0.000
Tl 0.166 0.834 0.000
Os 0.000 0.000 0.500
O 0.777 0.777 0.682
O 0.046 0.332 0.666
O 0.223 0.223 0.318
O 0.332 0.046 0.666
O 0.954 0.668 0.334
O 0.668 0.954 0.334

CaTlOs2O8: relaxed, PBE-GGA.

Computed properties:
Its space group is P-3 (147). The calculation puts the uncorrected formation energy at -15.393 eV/f.u. For the density of states at the Fermi level, the calculation gives 10.025 states/eV/cell. As for the total magnetization: 0.2507 μB/atom.

Cell lengths 6.078, 6.078, 7.748 Å; angles 90.00, 90.00, 120.00 degrees
Element x y z (fractional)
Ca 0.000 0.000 0.500
Tl 0.000 0.000 0.000
Os 0.667 0.333 0.237
Os 0.333 0.667 0.763
O 0.333 0.667 0.991
O 0.344 0.169 0.310
O 0.831 0.175 0.310
O 0.667 0.333 0.009
O 0.169 0.825 0.690
O 0.656 0.831 0.690
O 0.175 0.344 0.690
O 0.825 0.656 0.310

CaTm2OsO8: relaxed, PBE-GGA.

Computed properties:
Its space group is P2/m (10). The calculation puts the uncorrected formation energy at -28.262 eV/f.u. As for the total magnetization: 0.0000 μB/atom.

Cell lengths 4.989, 4.979, 6.799 Å; angles 90.00, 90.00, 90.24 degrees
Element x y z (fractional)
Ca 0.000 0.000 0.500
Tm 0.500 0.500 0.741
Tm 0.500 0.500 0.259
Os 0.000 0.000 0.000
O 0.184 0.814 0.196
O 0.729 0.730 0.000
O 0.816 0.186 0.196
O 0.816 0.186 0.804
O 0.271 0.270 0.000
O 0.184 0.814 0.804
O 0.687 0.688 0.500
O 0.313 0.312 0.500

CaTmOs2O8: relaxed, PBE-GGA.

Computed properties:
Its space group is I-4 (82). The calculation puts the uncorrected formation energy at -21.176 eV/f.u. For the density of states at the Fermi level, the calculation gives 5.412 states/eV/cell. As for the total magnetization: 0.2476 μB/atom.

Cell lengths 5.221, 5.221, 6.712 Å; angles 112.89, 112.89, 90.00 degrees
Element x y z (fractional)
Ca 0.000 0.000 0.000
Tm 0.750 0.250 0.500
Os 0.500 0.500 0.000
Os 0.250 0.750 0.500
O 0.750 0.838 0.173
O 0.422 0.334 0.173
O 0.582 0.649 0.661
O 0.079 0.012 0.661
O 0.988 0.418 0.339
O 0.351 0.921 0.339
O 0.162 0.578 0.827
O 0.666 0.250 0.827

Ca2TmOsO8: relaxed, PBE-GGA.

Computed properties:
Its space group is P2/m (10). The calculation puts the uncorrected formation energy at -24.106 eV/f.u. As for the total magnetization: 0.0900 μB/atom.

Cell lengths 5.227, 4.873, 6.614 Å; angles 90.00, 90.00, 90.48 degrees
Element x y z (fractional)
Ca 0.500 0.500 0.755
Ca 0.500 0.500 0.245
Tm 0.000 0.000 0.500
Os 0.000 0.000 0.000
O 0.137 0.783 0.210
O 0.708 0.781 0.000
O 0.863 0.217 0.210
O 0.863 0.217 0.790
O 0.292 0.219 0.000
O 0.137 0.783 0.790
O 0.639 0.775 0.500
O 0.361 0.225 0.500